# 1
Computed, not measured: a relaxed structure of Sm5UAs6 at the PBE level of DFT.

The structure in CIF format:
```
data_Sm5UAs6
_symmetry_space_group_name_H-M 'C 1 2/m 1'
_symmetry_Int_Tables_number 12
_symmetry_space_group_name_Hall '-C 2y'
_cell_length_a 7.254
_cell_length_b 12.567
_cell_length_c 7.248
_cell_angle_alpha 90.00
_cell_angle_beta 109.49
_cell_angle_gamma 90.00
loop_
_atom_site_label
_atom_site_type_symbol
_atom_site_fract_x
_atom_site_fract_y
_atom_site_fract_z
Sm1 Sm 0.000 0.000 0.000
Sm2 Sm 0.000 0.166 0.500
Sm3 Sm 0.000 0.331 0.000
U1 U 0.000 0.500 0.500
As1 As 0.242 0.500 0.255
As2 As 0.244 0.338 0.745
```

## Properties
* formation enthalpy at 0 K: -1.397 eV/atom

# 2
Computed, not measured: a relaxed structure of Ba2AlBr at the PBE level of DFT.

The structure in CIF format:
```
data_Ba2AlBr
_symmetry_space_group_name_H-M 'F m -3 m'
_symmetry_Int_Tables_number 225
_symmetry_space_group_name_Hall '-F 4 2 3'
_cell_length_a 8.497
_cell_length_b 8.497
_cell_length_c 8.497
_cell_angle_alpha 90.00
_cell_angle_beta 90.00
_cell_angle_gamma 90.00
loop_
_atom_site_label
_atom_site_type_symbol
_atom_site_fract_x
_atom_site_fract_y
_atom_site_fract_z
Ba1 Ba 0.250 0.250 0.250
Al1 Al 0.000 0.000 0.000
Br1 Br 0.000 0.000 0.500
```

## Properties
* offset from the most stable computed form: 251 meV per atom

# 3
Computed, not measured: a relaxed structure of KBaDyBr6 at the PBE level of DFT.

The structure in CIF format:
```
data_KBaDyBr6
_symmetry_space_group_name_H-M 'P -3 1 c'
_symmetry_Int_Tables_number 163
_symmetry_space_group_name_Hall '-P 3 2c'
_cell_length_a 7.9740
_cell_length_b 7.9740
_cell_length_c 13.6949
_cell_angle_alpha 90.00
_cell_angle_beta 90.00
_cell_angle_gamma 120.00
loop_
_atom_site_label
_atom_site_type_symbol
_atom_site_fract_x
_atom_site_fract_y
_atom_site_fract_z
K1 K 0.0000 0.0000 0.0000
Ba1 Ba 0.3333 0.6667 0.2500
Dy1 Dy 0.3333 0.6667 0.7500
Br1 Br 0.0411 0.3805 0.6317
```

# 4
Computed, not measured: a relaxed structure of BaTaTeF2 at the PBE level of DFT.

The structure in CIF format:
```
data_BaTaTeF2
_symmetry_space_group_name_H-M 'P 4/m m m'
_symmetry_Int_Tables_number 123
_symmetry_space_group_name_Hall '-P 4 2'
_cell_length_a 4.651
_cell_length_b 4.651
_cell_length_c 8.921
_cell_angle_alpha 90.00
_cell_angle_beta 90.00
_cell_angle_gamma 90.00
loop_
_atom_site_label
_atom_site_type_symbol
_atom_site_fract_x
_atom_site_fract_y
_atom_site_fract_z
Ba1 Ba 0.000 0.000 0.000
Ta1 Ta 0.000 0.000 0.500
Te1 Te 0.500 0.500 0.500
F1 F 0.000 0.500 0.000
```

no.,ρ (g/cm³),uncorrected energy (eV/atom),spin magnetization (μB/cell)
1,7.67,-6.63,4.14
2,4.13,-2.92,8.00
3,3.60,-3.92,0.00
4,4.16,-5.15,3.00